A plane-wave DFT calculation with GGA-PBE was carried out for a relaxed structure of Ba2Ag3Ge.

Lattice parameters (Å, degrees): 9.562 9.492 6.610 70.28 69.13 40.59
Element x y z (fractional)
Ba  0.244  0.756  0.756
Ba  0.250  0.250  0.250
Ba  0.750  0.750  0.750
Ba  0.756  0.244  0.244
Ag  0.172  0.172  0.828
Ag  0.175  0.655  0.345
Ag  0.345  0.825  0.175
Ag  0.655  0.175  0.825
Ag  0.825  0.345  0.655
Ag  0.828  0.828  0.172
Ge  0.334  0.334  0.666
Ge  0.666  0.666  0.334

Its energy above the lowest structure with this stoichiometry is 0.0 meV/atom. As for the space group: Fmmm (69). The value obtained for the mass density is 6.146 Mg/m³. The magnetic moment is 0.0 μB per cell. Its volume is 30.21 Å³/atom. As for the energy: -3.155 eV per atom. The value obtained for the formation energy is -319 meV per atom.

=====

A plane-wave DFT calculation with GGA-PBE was carried out for a relaxed structure of BaAgGe2H.

Lattice parameters (Å, degrees): 4.820 4.820 4.533 90.00 90.00 90.00
Element x y z (fractional)
Ba  0.000  0.000  0.000
Ag  0.500  0.500  0.000
Ge  0.000  0.500  0.500
Ge  0.500  0.000  0.500
H  0.500  0.500  0.500

As for the space group: P4/mmm (123). The value obtained for the mass density is 6.172 Mg/m³. The magnetic moment is 0.0 μB per cell. Its volume is 21.07 Å³/atom. As for the energy: -3.280 eV per atom.

=====

A plane-wave DFT calculation with GGA-PBE was carried out for a relaxed structure of Ba2AgGeH.

Lattice parameters (Å, degrees): 5.817 5.817 4.038 90.00 90.00 90.00
Element x y z (fractional)
Ba  0.000  0.500  0.000
Ba  0.500  0.000  0.000
Ag  0.000  0.000  0.500
Ge  0.500  0.500  0.500
H  0.000  0.000  0.000

As for the space group: P4/mmm (123). The value obtained for the mass density is 5.544 Mg/m³. The magnetic moment is 0.0 μB per cell. Its volume is 27.33 Å³/atom. As for the energy: -3.238 eV per atom.

=====

A plane-wave DFT calculation with GGA-PBE was carried out for a relaxed structure of BaAgHg2Ge.

Lattice parameters (Å, degrees): 5.577 5.577 4.951 90.00 90.00 90.00
Element x y z (fractional)
Ba  0.000  0.000  0.000
Ag  0.500  0.500  0.000
Hg  0.000  0.500  0.500
Hg  0.500  0.000  0.500
Ge  0.500  0.500  0.500

As for the space group: P4/mmm (123). The value obtained for the mass density is 7.754 Mg/m³. The magnetic moment is 0.0 μB per cell. Its volume is 30.80 Å³/atom. As for the energy: -2.125 eV per atom. The value obtained for the formation energy is -126 meV per atom.

=====

A plane-wave DFT calculation with GGA-PBE was carried out for a relaxed structure of Ba4AgGeI2.

Lattice parameters (Å, degrees): 8.404 4.919 9.045 90.00 107.58 90.00
Element x y z (fractional)
Ba  0.226  0.000  0.208
Ba  0.247  0.500  0.783
Ba  0.753  0.500  0.217
Ba  0.774  0.000  0.792
Ag  0.500  0.000  0.000
Ge  0.000  0.500  0.000
I  0.000  0.000  0.500
I  0.500  0.500  0.500

As for the space group: P2/m (10). The value obtained for the mass density is 4.582 Mg/m³. The magnetic moment is 0.0 μB per cell. Its volume is 44.56 Å³/atom. For the formation energy without anion corrections, the calculation gives -87.58 kJ per mole of atoms. As for the energy: -3.190 eV per atom.

=====

A plane-wave DFT calculation with GGA-PBE was carried out for a relaxed structure of Ba2In4Ag3Ge.

Lattice parameters (Å, degrees): 4.801 4.801 11.971 90.00 90.00 90.00
Element x y z (fractional)
Ba  0.000  0.500  0.245
Ba  0.500  0.000  0.755
In  0.000  0.000  0.500
In  0.000  0.500  0.870
In  0.500  0.000  0.130
In  0.500  0.500  0.500
Ag  0.000  0.000  0.000
Ag  0.000  0.500  0.635
Ag  0.500  0.000  0.365
Ge  0.500  0.500  0.000

As for the space group: P-4m2 (115). The value obtained for the mass density is 6.800 Mg/m³. The magnetic moment is 0.0 μB per cell. Its volume is 27.60 Å³/atom. As for the energy: -3.100 eV per atom. The value obtained for the formation energy is -303 meV per atom.

=====

A plane-wave DFT calculation with GGA-PBE was carried out for a relaxed structure of BaInAg2Ge.

Lattice parameters (Å, degrees): 6.793 6.793 6.793 140.78 139.50 57.65
Element x y z (fractional)
Ba  0.000  0.000  0.000
In  0.251  0.751  0.500
Ag  0.615  0.615  0.000
Ag  0.771  0.271  0.500
Ge  0.390  0.390  0.000

As for the space group: Imm2 (44). The value obtained for the mass density is 7.034 Mg/m³. The magnetic moment is 0.0 μB per cell. Its volume is 25.52 Å³/atom. As for the energy: -3.317 eV per atom. The value obtained for the formation energy is -321 meV per atom.

=====

A plane-wave DFT calculation with GGA-PBE was carried out for a relaxed structure of Ba2In3AgGe4.

Lattice parameters (Å, degrees): 4.928 4.928 10.979 90.00 90.00 90.00
Element x y z (fractional)
Ba  0.000  0.500  0.249
Ba  0.500  0.000  0.751
In  0.000  0.000  0.000
In  0.000  0.500  0.626
In  0.500  0.000  0.374
Ag  0.500  0.500  0.000
Ge  0.000  0.000  0.500
Ge  0.000  0.500  0.874
Ge  0.500  0.000  0.126
Ge  0.500  0.500  0.500

As for the space group: P-4m2 (115). The value obtained for the mass density is 6.336 Mg/m³. The magnetic moment is 0.0 μB per cell. Its volume is 26.67 Å³/atom. As for the energy: -3.638 eV per atom. The value obtained for the formation energy is -300 meV per atom.

=====

A plane-wave DFT calculation with GGA-PBE was carried out for a relaxed structure of BaAgGeIr.

Lattice parameters (Å, degrees): 4.169 4.169 11.747 90.00 90.00 90.00
Element x y z (fractional)
Ba  0.250  0.250  0.244
Ba  0.750  0.750  0.756
Ag  0.250  0.750  0.000
Ag  0.750  0.250  0.000
Ge  0.250  0.250  0.614
Ge  0.750  0.750  0.386
Ir  0.250  0.750  0.500
Ir  0.750  0.250  0.500

As for the space group: P4/nmm (129). The value obtained for the mass density is 8.298 Mg/m³. The magnetic moment is 0.0 μB per cell. Its volume is 25.52 Å³/atom. As for the energy: -4.980 eV per atom. The value obtained for the formation energy is -417 meV per atom.

=====

A plane-wave DFT calculation with GGA-PBE was carried out for a relaxed structure of Ba2AgGeIr.

Lattice parameters (Å, degrees): 6.160 6.160 4.705 90.00 90.00 90.00
Element x y z (fractional)
Ba  0.000  0.500  0.000
Ba  0.500  0.000  0.000
Ag  0.000  0.000  0.500
Ge  0.500  0.500  0.500
Ir  0.500  0.500  0.000

As for the space group: P4/mmm (123). The value obtained for the mass density is 6.021 Mg/m³. The magnetic moment is 0.0 μB per cell. Its volume is 35.71 Å³/atom. As for the energy: -4.305 eV per atom. The value obtained for the formation energy is -270 meV per atom.

=====

A plane-wave DFT calculation with GGA-PBE was carried out for a relaxed structure of BaLa2Ag2Ge2.

Lattice parameters (Å, degrees): 10.443 10.443 10.443 26.27 26.27 26.27
Element x y z (fractional)
Ba  0.000  0.000  0.000
La  0.131  0.131  0.131
La  0.869  0.869  0.869
Ag  0.411  0.411  0.411
Ag  0.589  0.589  0.589
Ge  0.249  0.249  0.249
Ge  0.751  0.751  0.751

As for the space group: R-3m (166). The value obtained for the mass density is 6.555 Mg/m³. The magnetic moment is 0.0 μB per cell. Its volume is 28.09 Å³/atom. As for the energy: -4.292 eV per atom. The value obtained for the formation energy is -475 meV per atom.

=====

A plane-wave DFT calculation with GGA-PBE was carried out for a relaxed structure of BaLiAgGe2.

Lattice parameters (Å, degrees): 6.351 6.351 6.351 137.21 137.21 62.12
Element x y z (fractional)
Ba  0.000  0.000  0.000
Li  0.750  0.250  0.500
Ag  0.250  0.750  0.500
Ge  0.385  0.385  0.000
Ge  0.615  0.615  0.000

As for the space group: I-4m2 (119). The value obtained for the mass density is 5.648 Mg/m³. The magnetic moment is 0.0 μB per cell. Its volume is 23.37 Å³/atom. As for the energy: -3.591 eV per atom. The value obtained for the formation energy is -406 meV per atom.